## NpFeAg2O6 (GGA+U)

Data for NpFeAg2O6 after structural relaxation.

The total energy comes out at -137.6 eV per cell. As for the magnetic moment: 10.0 Bohr magnetons per cell.

The structure belongs to space group C2/m (No. 12); the cell edges are 9.680, 5.754 and 5.581 Å and the angles 90.00°, 125.11° and 90.00°. The inequivalent atoms are Np at (0.000, 0.000, 0.000), Fe at (0.000, 0.500, 0.500), Ag at (0.250, 0.000, 0.739), O at (0.049, 0.251, 0.299) and O at (0.250, 0.000, 0.156).